No. 1
Compound: Li4PtPb
Source: Alexandria
Functional: PBE-GGA
Structure: optimized geometry

It has space group F-43m (No. 216), with a = 7.1346 Å, b = 7.1346 Å, c = 7.1346 Å, α = 90.00°, β = 90.00° and γ = 90.00°. The asymmetric unit holds Li at (0.1228, 0.1228, 0.3772), Pt at (0.2500, 0.2500, 0.7500) and Pb at (0.0000, 0.0000, 0.0000).

As for the energy above the most stable polymorph in this dataset: 0.166 eV/atom. As for the density of states at the Fermi level: 2.8 states/eV/f.u. The electronic total energy comes out at -3.132 eV per atom.

No. 2
Compound: BaSn4Pd2
Source: Alexandria
Functional: PBE-GGA
Structure: optimized geometry

It has space group Pnma (No. 62), with a = 19.2816 Å, b = 4.8049 Å, c = 7.4210 Å, α = 90.00°, β = 90.00° and γ = 90.00°. The asymmetric unit holds Ba at (0.1419, 0.2500, 0.0061), Sn at (0.0309, 0.7500, 0.8537), Sn at (0.0672, 0.2500, 0.4847), Sn at (0.1811, 0.7500, 0.3152), Sn at (0.1950, 0.7500, 0.7190), Pd at (0.0330, 0.7500, 0.2466) and Pd at (0.2116, 0.2500, 0.5218).

As for the energy above the most stable polymorph in this dataset: 0.000 eV/atom. As for the density of states at the Fermi level: 2.6 states/eV/f.u. The electronic total energy comes out at -4.591 eV per atom.

No. 3
Compound: TeAuI2N
Source: Alexandria
Functional: PBE-GGA
Structure: optimized geometry

It has space group P4/mmm (No. 123), with a = 6.1166 Å, b = 6.1166 Å, c = 3.7801 Å, α = 90.00°, β = 90.00° and γ = 90.00°. The asymmetric unit holds Te at (0.0000, 0.0000, 0.0000), Au at (0.5000, 0.5000, 0.5000), I at (0.0000, 0.5000, 0.5000) and N at (0.5000, 0.5000, 0.0000).

The raw formation energy comes out at 459 kJ/mol of formula units. As for the energy above the most stable polymorph in this dataset: 0.035 eV/atom. As for the density of states at the Fermi level: 4.6 states/eV/f.u. The electronic total energy comes out at -2.618 eV per atom.

No. 4
Compound: MnAg2Ge
Source: Alexandria
Functional: PBE-GGA
Structure: optimized geometry

It has space group I-42d (No. 122), with a = 3.8633 Å, b = 3.8633 Å, c = 19.8958 Å, α = 90.00°, β = 90.00° and γ = 90.00°. The asymmetric unit holds Mn at (0.0000, 0.0000, 0.0000), Ag at (0.2502, 0.2500, 0.1250) and Ge at (0.0000, 0.0000, 0.5000).

As for the density of states at the Fermi level: 1.7 states/eV/f.u. The electronic total energy comes out at -4.541 eV per atom.

No. 5
Compound: RbLiAcCl5
Source: Alexandria
Functional: PBE-GGA
Structure: optimized geometry

It has space group C2/c (No. 15), with a = 9.2607 Å, b = 12.6099 Å, c = 10.6666 Å, α = 90.00°, β = 113.01° and γ = 90.00°. The asymmetric unit holds Rb at (0.0000, 0.1484, 0.2500), Li at (0.0000, 0.1893, 0.7500), Ac at (0.0000, 0.5000, 0.0000), Cl at (0.0000, 0.4088, 0.2500), Cl at (0.1136, 0.2979, 0.6252) and Cl at (0.1793, 0.0684, 0.9172).

The raw formation energy comes out at -1662 kJ/mol of formula units. As for the density of states at the Fermi level: 0.0 states/eV/f.u. The electronic total energy comes out at -4.181 eV per atom.

No. 6
Compound: ZnGa3B
Source: Alexandria
Functional: PBE-GGA
Structure: optimized geometry

It has space group Pm-3m (No. 221), with a = 4.7668 Å, b = 4.7668 Å, c = 4.7668 Å, α = 90.00°, β = 90.00° and γ = 90.00°. The asymmetric unit holds Zn at (0.0000, 0.0000, 0.0000), Ga at (0.0000, 0.0000, 0.5000) and B at (0.5000, 0.5000, 0.5000).

As for the energy above the most stable polymorph in this dataset: 0.731 eV/atom. As for the density of states at the Fermi level: 3.8 states/eV/f.u. The electronic total energy comes out at -2.251 eV per atom.